Compound: NaSr2HfIr
Source: Alexandria via LeMat-Bulk
Functional: PBE
Structure: relaxed

Calculated values
V in Å³/cell: 175
Mass density in g/cm³: 5.39
ΔE_f in eV/atom: 0.8818

Unit cell a=5.6901 b=5.6901 c=5.4124 alpha=90.00 beta=90.00 gamma=90.00
With the nearest neighbours (Å) after each atom.
Space group P4/mmm (No. 123)
Unique sites:
Na  0.0000  0.0000  0.0000 [1 per cell]  2 Ir 2.71
Sr  0.0000  0.5000  0.5000 [2 per cell]  2 Ir 2.85
Hf  0.5000  0.5000  0.0000 [1 per cell]  8 Sr 3.93, 4 Na 4.02
Ir  0.0000  0.0000  0.5000 [1 per cell]  2 Na 2.71, 4 Sr 2.85